(1)
Density functional theory data (PBE) for a relaxed structure of TaIrPb2.

a b c (Å): 3.1527 3.1527 8.3157
angles (deg): 90.00 90.00 90.00
Last column: nearest neighbours and their distance in Å.
Element x y z (fractional)
Ta 0.0000 0.0000 0.0000  4 Ta 3.15, 8 Pb 3.16
Ir 0.0000 0.0000 0.5000  8 Pb 2.94, 4 Ir 3.15
Pb 0.5000 0.5000 0.2696  4 Ir 2.94, 4 Pb 3.15, 4 Ta 3.16
Pb 0.5000 0.5000 0.7304  4 Ir 2.94, 4 Pb 3.15, 4 Ta 3.16

Output
Excess energy over the best structure of this formula in the dataset ... 0.700 eV/atom
E ... -6.324 eV per atom
Space group ... P4/mmm, No. 123
Fermi-level density of states ... 4.3 states/eV per cell
Formation energy from the elements ... 0.708 eV per atom
Volume ... 20.66 Å³/atom

(2)
Density functional theory data (PBE) for a relaxed structure of TaIr2Pb2.

a b c (Å): 7.0791 7.0791 7.0791
angles (deg): 146.68 146.68 47.83
Last column: nearest neighbours and their distance in Å.
Element x y z (fractional)
Ta 0.0000 0.0000 0.0000  8 Ir 3.12
Ir 0.4060 0.4060 0.0000  1 Ir 2.43
Ir 0.5940 0.5940 0.0000  1 Ir 2.43
Pb 0.2500 0.7500 0.5000  4 Ir 2.86, 4 Pb 2.87
Pb 0.7500 0.2500 0.5000  4 Ir 2.86, 4 Pb 2.87

Output
Excess energy over the best structure of this formula in the dataset ... 0.488 eV/atom
E ... -6.580 eV per atom
Space group ... I4/mmm, No. 139
Fermi-level density of states ... 4.8 states/eV per cell
Formation energy from the elements ... 0.819 eV per atom
Volume ... 21.32 Å³/atom

(3)
Density functional theory data (PBE) for a relaxed structure of TaIr4Pb.

a b c (Å): 5.2681 5.2681 5.2681
angles (deg): 60.00 60.00 60.00
Last column: nearest neighbours and their distance in Å.
Element x y z (fractional)
Ta 0.0000 0.0000 0.0000  12 Ir 3.09, 4 Pb 3.23
Ir 0.1247 0.6251 0.6251  6 Ir 2.63-2.64
Ir 0.6251 0.1247 0.6251  6 Ir 2.63-2.64
Ir 0.6251 0.6251 0.1247  6 Ir 2.63-2.64
Ir 0.6251 0.6251 0.6251  6 Ir 2.63-2.64
Pb 0.2500 0.2500 0.2500  12 Ir 3.09, 4 Ta 3.23

Output
E ... -8.298 eV per atom
Space group ... F-43m, No. 216
Fermi-level density of states ... 5.3 states/eV per cell
Formation energy from the elements ... 0.203 eV per atom
Volume ... 17.23 Å³/atom

(4)
Density functional theory data (PBE) for a relaxed structure of TaIr2Pb.

a b c (Å): 5.1253 5.1253 5.1253
angles (deg): 133.58 133.58 67.75
Last column: nearest neighbours and their distance in Å.
Element x y z (fractional)
Ta 0.0000 0.0000 0.0000  8 Ir 2.86-2.93, 4 Pb 2.93
Ir 0.5000 0.5000 0.0000  4 Ta 2.86, 4 Pb 2.93, 4 Ir 2.93
Ir 0.7500 0.2500 0.5000  4 Pb 2.86, 4 Ir 2.93, 4 Ta 2.93
Pb 0.2500 0.7500 0.5000  8 Ir 2.86-2.93, 4 Ta 2.93

Output
E ... -8.147 eV per atom
Space group ... I-4m2, No. 119
Fermi-level density of states ... 3.0 states/eV per cell
Formation energy from the elements ... 0.174 eV per atom
Volume ... 17.36 Å³/atom

(5)
Density functional theory data (PBE) for a relaxed structure of Ta2IrPb2.

a b c (Å): 6.9429 6.9429 4.4183
angles (deg): 90.00 90.00 90.00
Last column: nearest neighbours and their distance in Å.
Element x y z (fractional)
Ta 0.1407 0.3593 0.0000  1 Ta 2.76, 6 Pb 2.99-3.01
Ta 0.3593 0.8593 0.0000  1 Ta 2.76, 6 Pb 2.99-3.01
Ta 0.6407 0.1407 0.0000  1 Ta 2.76, 6 Pb 2.99-3.01
Ta 0.8593 0.6407 0.0000  1 Ta 2.76, 6 Pb 2.99-3.01
Ir 0.0000 0.0000 0.5000  4 Pb 2.63
Ir 0.5000 0.5000 0.5000  4 Pb 2.63
Pb 0.1539 0.6539 0.5000  2 Ir 2.63
Pb 0.3461 0.1539 0.5000  2 Ir 2.63
Pb 0.6539 0.8461 0.5000  2 Ir 2.63
Pb 0.8461 0.3461 0.5000  2 Ir 2.63

Output
Excess energy over the best structure of this formula in the dataset ... 0.000 eV/atom
E ... -7.106 eV per atom
Space group ... P4/mbm, No. 127
Fermi-level density of states ... 10.9 states/eV per cell
Formation energy from the elements ... 0.890 eV per atom
Volume ... 21.30 Å³/atom

(6)
Density functional theory data (PBE) for a relaxed structure of TaIrPb2.

a b c (Å): 3.1585 4.9933 5.3944
angles (deg): 90.00 90.00 90.00
Last column: nearest neighbours and their distance in Å.
Element x y z (fractional)
Ta 0.0000 0.0000 0.0000  4 Pb 2.95, 4 Ir 3.13, 2 Ta 3.16
Ir 0.5000 0.0000 0.5000  4 Pb 2.95, 4 Ta 3.13, 2 Ir 3.16
Pb 0.0000 0.5000 0.5000  4 Ir 2.95, 6 Pb 3.13-3.16
Pb 0.5000 0.5000 0.0000  4 Ta 2.95, 6 Pb 3.13-3.16

Output
Excess energy over the best structure of this formula in the dataset ... 0.692 eV/atom
E ... -6.332 eV per atom
Space group ... Pmmm, No. 47
Fermi-level density of states ... 3.5 states/eV per cell
Formation energy from the elements ... 0.701 eV per atom
Volume ... 21.27 Å³/atom